Record 1
First-principles (PBE) data for an optimized crystal structure of Nd4DyHg, as listed in Alexandria.

Cell and atoms, written as POSCAR:
```
Nd4DyHg
1.0
3.695 0.000 0.000
0.000 3.695 0.000
0.000 0.000 14.207
Nd Hg Dy
4 1 1
Direct
0.000 0.000 0.644
0.500 0.500 0.175
0.500 0.500 0.825
0.000 0.000 0.356
0.500 0.500 0.500
0.000 0.000 0.000
```

Values from the calculation:
- volume (A^3/atom) = 32.3
- DFT formation energy (eV/atom) = -0.146
- SG = P4/mmm
- spin magnetization (μB per cell) = 0.00
- raw total energy (eV/f.u.) = -24.85
- ΔE to the lowest computed polymorph (meV per atom) = 0

Record 2
First-principles (PBE) data for an optimized crystal structure of MgAl5Ir6, as listed in Alexandria.

Cell and atoms, written as POSCAR:
```
MgAl5Ir6
1.0
-1.378 -3.737 -1.581
0.187 -2.411 5.536
-5.489 4.895 -0.980
Al Mg Ir
5 1 6
Direct
0.333 0.333 0.666
0.667 0.667 0.334
0.664 0.164 0.328
0.000 0.500 0.000
0.336 0.836 0.672
0.000 0.000 0.000
0.500 0.257 0.000
0.500 0.743 0.000
0.831 0.577 0.661
0.831 0.084 0.661
0.169 0.916 0.339
0.169 0.423 0.339
```

Values from the calculation:
- volume (A^3/atom) = 13.9
- DFT formation energy (eV/atom) = -0.906
- SG = Immm
- spin magnetization (μB per cell) = 0.00
- raw total energy (eV/f.u.) = -84.35

Record 3
First-principles (PBE) data for an optimized crystal structure of CaTlSb, as listed in Alexandria.

Cell and atoms, written as POSCAR:
```
CaTlSb
1.0
-1.901 -2.940 -3.122
4.502 1.254 -0.399
1.348 -3.925 2.876
Ca Sb Tl
1 1 1
Direct
0.000 0.000 0.020
0.667 0.333 0.342
0.333 0.667 0.638
```

Values from the calculation:
- volume (A^3/atom) = 32.1
- SG = P3m1
- spin magnetization (μB per cell) = 0.00
- raw total energy (eV/f.u.) = -9.95
- ΔE to the lowest computed polymorph (meV per atom) = 74
- E_form (uncorrected) (meV per atom) = -485

Record 4
First-principles (PBE) data for an optimized crystal structure of Sr2MnGe, as listed in Alexandria.

Cell and atoms, written as POSCAR:
```
Sr2MnGe
1.0
-1.579 -7.637 -3.825
2.346 -4.128 7.273
-2.857 -5.768 2.834
Sr Mn Ge
4 2 2
Direct
0.646 0.125 0.250
0.875 0.896 0.750
0.104 0.625 0.250
0.375 0.354 0.750
0.500 0.500 0.000
0.250 0.750 0.500
0.000 0.000 0.000
0.750 0.250 0.500
```

Values from the calculation:
- volume (A^3/atom) = 32.3
- DFT formation energy (eV/atom) = 0.396
- SG = I-42d
- spin magnetization (μB per cell) = 8.39
- raw total energy (eV/f.u.) = -15.57

Record 5
First-principles (PBE) data for an optimized crystal structure of Pm3HoGa, as listed in Alexandria.

Cell and atoms, written as POSCAR:
```
Pm3HoGa
1.0
7.541 0.032 -0.275
-2.032 7.262 0.275
-3.274 -3.255 5.970
Pm Ga Ho
6 2 2
Direct
0.277 0.558 0.835
0.223 0.419 0.263
0.844 0.040 0.263
0.723 0.442 0.165
0.156 0.960 0.737
0.777 0.581 0.737
0.624 0.754 0.378
0.376 0.246 0.622
0.702 0.061 0.764
0.298 0.939 0.236
```

Values from the calculation:
- volume (A^3/atom) = 32.6
- DFT formation energy (eV/atom) = -0.065
- SG = C2/m
- spin magnetization (μB per cell) = 0.00
- raw total energy (eV/f.u.) = -22.18

Record 6
First-principles (PBE) data for an optimized crystal structure of Sm6Mg5Sc, as listed in Alexandria.

Cell and atoms, written as POSCAR:
```
Sm6Mg5Sc
1.0
-4.326 -2.692 -1.902
4.256 -2.707 -5.852
2.098 -3.802 8.385
Sm Mg Sc
6 5 1
Direct
0.834 0.582 0.667
0.166 0.418 0.333
0.500 0.252 0.000
0.500 0.748 0.000
0.834 0.085 0.667
0.166 0.915 0.333
0.664 0.164 0.328
0.000 0.500 0.000
0.332 0.332 0.665
0.668 0.668 0.335
0.336 0.836 0.672
0.000 0.000 0.000
```

Values from the calculation:
- volume (A^3/atom) = 28.6
- DFT formation energy (eV/atom) = -0.060
- SG = Immm
- spin magnetization (μB per cell) = 0.00
- raw total energy (eV/f.u.) = -43.34

Record 7
First-principles (PBE) data for an optimized crystal structure of TcSn2Pd, as listed in Alexandria.

Cell and atoms, written as POSCAR:
```
TcSn2Pd
1.0
7.275 0.000 0.000
0.000 7.275 0.000
3.637 3.637 3.075
Tc Pd Sn
2 2 4
Direct
0.500 0.500 0.000
0.250 0.750 0.500
0.750 0.250 0.500
0.000 0.000 0.000
0.118 0.625 0.250
0.632 0.125 0.250
0.875 0.882 0.750
0.375 0.368 0.750
```

Values from the calculation:
- volume (A^3/atom) = 20.3
- DFT formation energy (eV/atom) = 0.337
- SG = I-42d
- spin magnetization (μB per cell) = 2.06
- raw total energy (eV/f.u.) = -22.22
- ΔE to the lowest computed polymorph (meV per atom) = 446

Record 8
First-principles (PBE) data for an optimized crystal structure of Mn2CrCuTc, as listed in Alexandria.

Cell and atoms, written as POSCAR:
```
Mn2CrCuTc
1.0
-2.819 2.236 -2.448
-1.926 -3.669 -1.132
-2.681 0.355 3.411
Cu Cr Tc Mn
1 1 1 2
Direct
0.000 0.000 0.000
0.000 0.500 0.000
0.500 0.500 0.500
0.500 0.000 0.000
0.000 0.000 0.500
```

Values from the calculation:
- volume (A^3/atom) = 16.3
- DFT formation energy (eV/atom) = 1.470
- SG = P4/mmm
- spin magnetization (μB per cell) = 6.14
- raw total energy (eV/f.u.) = -35.08

Record 9
First-principles (PBE) data for an optimized crystal structure of CuC4, as listed in Alexandria.

Cell and atoms, written as POSCAR:
```
CuC4
1.0
2.332 -2.284 -1.972
0.787 -2.662 2.615
-3.467 1.173 -1.071
C Cu
4 1
Direct
0.750 0.250 0.500
0.636 0.636 0.000
0.250 0.750 0.500
0.364 0.364 0.000
0.000 0.000 0.000
```

Values from the calculation:
- volume (A^3/atom) = 6.9
- DFT formation energy (eV/atom) = 2.333
- SG = I4/mmm
- spin magnetization (μB per cell) = 0.00
- raw total energy (eV/f.u.) = -29.33
- ΔE to the lowest computed polymorph (meV per atom) = 1051

Record 10
First-principles (PBE) data for an optimized crystal structure of HfTiNi, as listed in Alexandria.

Cell and atoms, written as POSCAR:
```
HfTiNi
1.0
3.324 0.000 0.000
0.000 4.205 0.000
0.000 -2.102 3.641
Ti Ni Hf
1 1 1
Direct
0.109 0.000 0.000
0.255 0.667 0.333
0.636 0.333 0.667
```

Values from the calculation:
- volume (A^3/atom) = 17.0
- DFT formation energy (eV/atom) = -0.055
- SG = P3m1
- spin magnetization (μB per cell) = 0.00
- raw total energy (eV/f.u.) = -23.79
- ΔE to the lowest computed polymorph (meV per atom) = 228

Record 11
First-principles (PBE) data for an optimized crystal structure of Tb3InTe4, as listed in Alexandria.

Cell and atoms, written as POSCAR:
```
Tb3InTe4
1.0
6.246 0.000 0.000
0.000 9.457 0.000
0.000 0.000 9.801
Te Tb In
8 6 2
Direct
0.064 0.346 0.204
0.065 0.912 0.500
0.064 0.742 0.000
0.564 0.654 0.704
0.564 0.258 0.500
0.565 0.088 0.000
0.564 0.654 0.296
0.064 0.346 0.796
0.564 0.746 0.000
0.564 0.346 0.201
0.064 0.654 0.701
0.064 0.254 0.500
0.064 0.654 0.299
0.564 0.346 0.799
0.065 0.083 0.000
0.565 0.917 0.500
```

Values from the calculation:
- volume (A^3/atom) = 36.2
- SG = Pmmn
- spin magnetization (μB per cell) = 0.64
- raw total energy (eV/f.u.) = -36.65
- E_form (uncorrected) (meV per atom) = -932

Record 12
First-principles (PBE) data for an optimized crystal structure of Ba2ZnCd3Ga4, as listed in Alexandria.

Cell and atoms, written as POSCAR:
```
Ba2ZnCd3Ga4
1.0
-3.594 0.412 -3.017
0.938 -4.290 -1.704
-7.057 -4.632 7.776
Ga Cd Ba Zn
4 3 2 1
Direct
0.500 0.500 0.000
0.000 0.500 0.375
0.000 0.000 0.000
0.500 0.000 0.625
0.500 0.000 0.866
0.000 0.500 0.134
0.000 0.000 0.500
0.500 0.000 0.254
0.000 0.500 0.746
0.500 0.500 0.500
```

Values from the calculation:
- volume (A^3/atom) = 25.5
- DFT formation energy (eV/atom) = -0.311
- SG = P-4m2
- spin magnetization (μB per cell) = 0.00
- raw total energy (eV/f.u.) = -23.08